(A)
A relaxed structure of Pa2SnTe, computed with PBE.

ρ	11.38	Mg/m³
magnetic moment	4.23	μB per cell

Structure (CIF):
```
data_Pa2SnTe
_symmetry_space_group_name_H-M 'F m -3 m'
_symmetry_Int_Tables_number 225
_symmetry_space_group_name_Hall '-F 4 2 3'
_cell_length_a 7.451
_cell_length_b 7.451
_cell_length_c 7.451
_cell_angle_alpha 90.00
_cell_angle_beta 90.00
_cell_angle_gamma 90.00
loop_
_atom_site_label
_atom_site_fract_x
_atom_site_fract_y
_atom_site_fract_z
_atom_site_occupancy
Pa1 0.250 0.250 0.250 1
Sn1 0.000 0.000 0.000 1
Te1 0.000 0.000 0.500 1
```

---

(B)
A relaxed structure of Pa2SnTe, computed with PBE.

ρ	10.10	Mg/m³
magnetic moment	0.31	μB per cell

Structure (CIF):
```
data_Pa2SnTe
_symmetry_space_group_name_H-M 'R 3 m'
_symmetry_Int_Tables_number 160
_symmetry_space_group_name_Hall 'R 3 -2"'
_cell_length_a 4.0223
_cell_length_b 4.0223
_cell_length_c 24.9400
_cell_angle_alpha 90.00
_cell_angle_beta 90.00
_cell_angle_gamma 120.00
loop_
_atom_site_label
_atom_site_fract_x
_atom_site_fract_y
_atom_site_fract_z
_atom_site_occupancy
Pa1 0.0000 0.0000 0.0000 1
Pa2 0.0000 0.0000 0.1710 1
Sn1 0.0000 0.0000 0.5856 1
Te1 0.0000 0.0000 0.4185 1
```

---

Stability verdict: (A), ahead by 10.3 kJ/mol of atoms

---

(A)
A relaxed structure of PaSnTe, computed with PBE.

ρ	9.58	Mg/m³
magnetic moment	2.67	μB per cell

Structure (CIF):
```
data_PaSnTe
_symmetry_space_group_name_H-M 'I 4/m m m'
_symmetry_Int_Tables_number 139
_symmetry_space_group_name_Hall '-I 4 2'
_cell_length_a 4.308
_cell_length_b 4.308
_cell_length_c 17.832
_cell_angle_alpha 90.00
_cell_angle_beta 90.00
_cell_angle_gamma 90.00
loop_
_atom_site_label
_atom_site_fract_x
_atom_site_fract_y
_atom_site_fract_z
_atom_site_occupancy
Pa1 0.000 0.000 0.134 1
Sn1 0.000 0.500 0.000 1
Te1 0.000 0.000 0.316 1
```

---

(B)
A relaxed structure of PaSnTe, computed with PBE.

ρ	9.27	Mg/m³
magnetic moment	0.00	μB per cell

Structure (CIF):
```
data_PaSnTe
_symmetry_space_group_name_H-M 'P -6 m 2'
_symmetry_Int_Tables_number 187
_symmetry_space_group_name_Hall 'P -6 2'
_cell_length_a 5.1541
_cell_length_b 5.1541
_cell_length_c 3.7169
_cell_angle_alpha 90.00
_cell_angle_beta 90.00
_cell_angle_gamma 120.00
loop_
_atom_site_label
_atom_site_fract_x
_atom_site_fract_y
_atom_site_fract_z
_atom_site_occupancy
Pa1 0.0000 0.0000 0.0000 1
Sn1 0.3333 0.6667 0.5000 1
Te1 0.6667 0.3333 0.0000 1
```

---

Stability verdict: (A), ahead by 46.7 kJ/mol of atoms

---

(A)
A relaxed structure of PaSnTe, computed with PBE.

ρ	9.98	Mg/m³
magnetic moment	0.01	μB per cell

Structure (CIF):
```
data_PaSnTe
_symmetry_space_group_name_H-M 'I 4 m m'
_symmetry_Int_Tables_number 107
_symmetry_space_group_name_Hall 'I 4 -2'
_cell_length_a 3.939
_cell_length_b 3.939
_cell_length_c 10.238
_cell_angle_alpha 90.00
_cell_angle_beta 90.00
_cell_angle_gamma 90.00
loop_
_atom_site_label
_atom_site_fract_x
_atom_site_fract_y
_atom_site_fract_z
_atom_site_occupancy
Pa1 0.000 0.000 0.000 1
Sn1 0.000 0.000 0.668 1
Te1 0.000 0.000 0.346 1
```

---

(B)
A relaxed structure of PaSnTe, computed with PBE.

ρ	8.27	Mg/m³
magnetic moment	0.00	μB per cell

Structure (CIF):
```
data_PaSnTe
_symmetry_space_group_name_H-M 'P m m m'
_symmetry_Int_Tables_number 47
_symmetry_space_group_name_Hall '-P 2 2'
_cell_length_a 3.602
_cell_length_b 5.030
_cell_length_c 5.289
_cell_angle_alpha 90.00
_cell_angle_beta 90.00
_cell_angle_gamma 90.00
loop_
_atom_site_label
_atom_site_fract_x
_atom_site_fract_y
_atom_site_fract_z
_atom_site_occupancy
Pa1 0.000 0.000 0.000 1
Sn1 0.500 0.000 0.500 1
Te1 0.500 0.500 0.000 1
```

---

Stability verdict: (A), ahead by 7.3 kJ/mol of atoms

---

(A)
A relaxed structure of ThPaSn2, computed with PBE.

ρ	10.48	Mg/m³
magnetic moment	6.95	μB per cell

Structure (CIF):
```
data_ThPaSn2
_symmetry_space_group_name_H-M 'F m -3 m'
_symmetry_Int_Tables_number 225
_symmetry_space_group_name_Hall '-F 4 2 3'
_cell_length_a 7.629
_cell_length_b 7.629
_cell_length_c 7.629
_cell_angle_alpha 90.00
_cell_angle_beta 90.00
_cell_angle_gamma 90.00
loop_
_atom_site_label
_atom_site_fract_x
_atom_site_fract_y
_atom_site_fract_z
_atom_site_occupancy
Th1 0.000 0.000 0.000 1
Pa1 0.000 0.000 0.500 1
Sn1 0.250 0.250 0.250 1
```

---

(B)
A relaxed structure of ThPaSn2, computed with PBE.

ρ	10.72	Mg/m³
magnetic moment	0.82	μB per cell

Structure (CIF):
```
data_ThPaSn2
_symmetry_space_group_name_H-M 'P 4/m m m'
_symmetry_Int_Tables_number 123
_symmetry_space_group_name_Hall '-P 4 2'
_cell_length_a 3.491
_cell_length_b 3.491
_cell_length_c 8.900
_cell_angle_alpha 90.00
_cell_angle_beta 90.00
_cell_angle_gamma 90.00
loop_
_atom_site_label
_atom_site_fract_x
_atom_site_fract_y
_atom_site_fract_z
_atom_site_occupancy
Th1 0.000 0.000 0.000 1
Pa1 0.000 0.000 0.500 1
Sn1 0.500 0.500 0.257 1
```

---

Stability verdict: (B), ahead by 9.2 kJ/mol of atoms

---

(A)
A relaxed structure of ThPaSn, computed with PBE.

ρ	11.36	Mg/m³
magnetic moment	1.03	μB per cell

Structure (CIF):
```
data_ThPaSn
_symmetry_space_group_name_H-M 'I 4 m m'
_symmetry_Int_Tables_number 107
_symmetry_space_group_name_Hall 'I 4 -2'
_cell_length_a 4.154
_cell_length_b 4.154
_cell_length_c 9.859
_cell_angle_alpha 90.00
_cell_angle_beta 90.00
_cell_angle_gamma 90.00
loop_
_atom_site_label
_atom_site_fract_x
_atom_site_fract_y
_atom_site_fract_z
_atom_site_occupancy
Th1 0.000 0.000 0.000 1
Pa1 0.000 0.000 0.703 1
Sn1 0.000 0.000 0.349 1
```

---

(B)
A relaxed structure of ThPaSn, computed with PBE.

ρ	10.50	Mg/m³
magnetic moment	0.39	μB per cell

Structure (CIF):
```
data_ThPaSn
_symmetry_space_group_name_H-M 'I 4 m m'
_symmetry_Int_Tables_number 107
_symmetry_space_group_name_Hall 'I 4 -2'
_cell_length_a 3.188
_cell_length_b 3.188
_cell_length_c 18.105
_cell_angle_alpha 90.00
_cell_angle_beta 90.00
_cell_angle_gamma 90.00
loop_
_atom_site_label
_atom_site_fract_x
_atom_site_fract_y
_atom_site_fract_z
_atom_site_occupancy
Th1 0.000 0.000 0.000 1
Pa1 0.000 0.000 0.359 1
Sn1 0.000 0.000 0.183 1
```

---

Stability verdict: (A), ahead by 48.5 kJ/mol of atoms

---

(A)
A relaxed structure of PaTl2Sn, computed with PBE.

ρ	12.03	Mg/m³
magnetic moment	0.64	μB per cell

Structure (CIF):
```
data_PaTl2Sn
_symmetry_space_group_name_H-M 'P 4/m m m'
_symmetry_Int_Tables_number 123
_symmetry_space_group_name_Hall '-P 4 2'
_cell_length_a 4.634
_cell_length_b 4.634
_cell_length_c 4.878
_cell_angle_alpha 90.00
_cell_angle_beta 90.00
_cell_angle_gamma 90.00
loop_
_atom_site_label
_atom_site_fract_x
_atom_site_fract_y
_atom_site_fract_z
_atom_site_occupancy
Pa1 0.000 0.000 0.000 1
Tl1 0.000 0.500 0.500 1
Sn1 0.500 0.500 0.000 1
```

---

(B)
A relaxed structure of PaTl2Sn, computed with PBE.

ρ	11.00	Mg/m³
magnetic moment	0.43	μB per cell

Structure (CIF):
```
data_PaTl2Sn
_symmetry_space_group_name_H-M 'R -3 m'
_symmetry_Int_Tables_number 166
_symmetry_space_group_name_Hall '-R 3 2"'
_cell_length_a 3.3132
_cell_length_b 3.3132
_cell_length_c 36.1453
_cell_angle_alpha 90.00
_cell_angle_beta 90.00
_cell_angle_gamma 120.00
loop_
_atom_site_label
_atom_site_fract_x
_atom_site_fract_y
_atom_site_fract_z
_atom_site_occupancy
Pa1 0.0000 0.0000 0.0000 1
Tl1 0.0000 0.0000 0.0889 1
Sn1 0.0000 0.0000 0.5000 1
```

---

Stability verdict: (A), ahead by 32.8 kJ/mol of atoms